(1)
Density functional theory data (GGA-PBE) for a relaxed structure of Tm2TlPb.

volume	224.6	Å³/cell
size of the total moment	0.0	μB per formula unit
VASP energy	-4.0998	eV/atom
formation enthalpy at 0 K	-345	meV per atom

a = 6.176 Å, b = 4.327 Å, c = 8.834 Å
α = 90.00°, β = 107.92°, γ = 90.00°
Space group P2_1/m (No. 11)
Unique sites:
Tm (0.189, 0.250, 0.427) x2
Tm (0.309, 0.750, 0.071) x2
Tl (0.394, 0.750, 0.691) x2
Pb (0.114, 0.250, 0.805) x2

=====

(2)
Density functional theory data (GGA-PBE) for a relaxed structure of ZnCu2SiTe4.

volume	437.7	Å³/cell
energy relative to the elements, uncorrected	-0.177	eV/atom
size of the total moment	0.0	μB per formula unit
VASP energy	-3.6087	eV/atom

a = 6.043 Å, b = 6.043 Å, c = 11.987 Å
α = 90.00°, β = 90.00°, γ = 90.00°
Space group I-42m (No. 121)
Unique sites:
Zn (0.000, 0.000, 0.000) x2
Cu (0.000, 0.500, 0.250) x4
Si (0.000, 0.000, 0.500) x2
Te (0.241, 0.241, 0.370) x8

=====

(3)
Density functional theory data (GGA-PBE) for a relaxed structure of BeSb3W.

volume	144.8	Å³/cell
energy relative to the elements, uncorrected	1.099	eV/atom
size of the total moment	0.0	μB per formula unit
VASP energy	-4.7100	eV/atom
E above lowest polymorph	0.0	meV per atom

a = 5.251 Å, b = 5.251 Å, c = 5.251 Å
α = 90.00°, β = 90.00°, γ = 90.00°
Space group Pm-3m (No. 221)
Unique sites:
Be (0.000, 0.000, 0.000) x1
Sb (0.000, 0.500, 0.500) x3
W (0.500, 0.500, 0.500) x1

=====

(4)
Density functional theory data (GGA-PBE) for a relaxed structure of Tm2ThZrSc4.

volume	210.7	Å³/cell
size of the total moment	0.0	μB per formula unit
VASP energy	-6.1935	eV/atom
formation enthalpy at 0 K	86	meV per atom

a = 5.435 Å, b = 5.435 Å, c = 7.133 Å
α = 90.00°, β = 90.00°, γ = 90.00°
Space group P4/mmm (No. 123)
Unique sites:
Tm (0.000, 0.000, 0.000) x1
Tm (0.500, 0.500, 0.500) x1
Th (0.000, 0.000, 0.500) x1
Zr (0.500, 0.500, 0.000) x1
Sc (0.000, 0.500, 0.235) x4

=====

(5)
Density functional theory data (GGA-PBE) for a relaxed structure of VGePtSe2.

volume	121.0	Å³/cell
energy relative to the elements, uncorrected	0.799	eV/atom
size of the total moment	0.2	μB per formula unit
VASP energy	-4.5499	eV/atom

a = 5.135 Å, b = 5.135 Å, c = 4.588 Å
α = 90.00°, β = 90.00°, γ = 90.00°
Space group P4/mmm (No. 123)
Unique sites:
V (0.000, 0.000, 0.000) x1
Ge (0.500, 0.500, 0.000) x1
Pt (0.500, 0.500, 0.500) x1
Se (0.000, 0.500, 0.500) x2

=====

(6)
Density functional theory data (GGA-PBE) for a relaxed structure of MgSc4Ru.

volume	130.2	Å³/cell
size of the total moment	1.1	μB per formula unit
VASP energy	-6.2496	eV/atom
formation enthalpy at 0 K	-217	meV per atom
E above lowest polymorph	0.0	meV per atom

a = 3.263 Å, b = 3.263 Å, c = 12.223 Å
α = 90.00°, β = 90.00°, γ = 90.00°
Space group P4/mmm (No. 123)
Unique sites:
Mg (0.000, 0.000, 0.000) x1
Sc (0.000, 0.000, 0.375) x2
Sc (0.500, 0.500, 0.178) x2
Ru (0.500, 0.500, 0.500) x1

=====

(7)
Density functional theory data (GGA-PBE) for a relaxed structure of Ca3Si2AsAu9.

volume	346.3	Å³/cell
energy relative to the elements, uncorrected	-0.333	eV/atom
size of the total moment	0.0	μB per formula unit
VASP energy	-3.7332	eV/atom

a = 7.7317 Å, b = 7.7317 Å, c = 6.6884 Å
α = 90.00°, β = 90.00°, γ = 120.00°
Space group P-3m1 (No. 164)
Unique sites:
Ca (0.0000, 0.0000, 0.0000) x1
Ca (0.3333, 0.6667, 0.6704) x2
Si (0.3333, 0.6667, 0.1576) x2
As (0.0000, 0.0000, 0.5000) x1
Au (0.0000, 0.5000, 0.0000) x3
Au (0.1742, 0.3484, 0.3341) x6

=====

(8)
Density functional theory data (GGA-PBE) for a relaxed structure of Ba3Mg2Zn4.

volume	561.5	Å³/cell
size of the total moment	0.0	μB per formula unit
VASP energy	-1.7111	eV/atom
formation enthalpy at 0 K	-150	meV per atom
E above lowest polymorph	0.0	meV per atom

a = 12.255 Å, b = 4.742 Å, c = 9.796 Å
α = 90.00°, β = 99.47°, γ = 90.00°
Space group C2/m (No. 12)
Unique sites:
Ba (0.000, 0.000, 0.000) x2
Ba (0.116, 0.500, 0.385) x4
Mg (0.186, 0.500, 0.785) x4
Zn (0.104, 0.000, 0.662) x4
Zn (0.236, 0.500, 0.076) x4

=====

(9)
Density functional theory data (GGA-PBE) for a relaxed structure of Hf2Be2Pd.

volume	149.4	Å³/cell
size of the total moment	0.0	μB per formula unit
VASP energy	-6.9443	eV/atom
formation enthalpy at 0 K	-434	meV per atom

a = 6.372 Å, b = 6.372 Å, c = 3.679 Å
α = 90.00°, β = 90.00°, γ = 90.00°
Space group P4/mbm (No. 127)
Unique sites:
Hf (0.172, 0.328, 0.000) x4
Be (0.122, 0.622, 0.500) x4
Pd (0.000, 0.000, 0.500) x2

=====

(10)
Density functional theory data (GGA-PBE) for a relaxed structure of Mg2Br.

volume	179.7	Å³/cell
energy relative to the elements, uncorrected	-0.481	eV/atom
size of the total moment	0.0	μB per formula unit
VASP energy	-2.1020	eV/atom
E above lowest polymorph	33.5	meV per atom

a = 3.498 Å, b = 5.601 Å, c = 9.735 Å
α = 106.58°, β = 100.18°, γ = 90.02°
Space group P-1 (No. 2)
Unique sites:
Mg (0.067, 0.394, 0.131) x2
Mg (0.428, 0.118, 0.851) x2
Br (0.168, 0.171, 0.344) x2

=====

(11)
Density functional theory data (GGA-PBE) for a relaxed structure of Tb2CoSi3Ni12.

volume	774.3	Å³/cell
energy relative to the elements, uncorrected	-0.068	eV/atom
size of the total moment	2.9	μB per formula unit
VASP energy	-5.7353	eV/atom

a = 6.0577 Å, b = 6.0577 Å, c = 24.3643 Å
α = 90.00°, β = 90.00°, γ = 120.00°
Space group R-3m (No. 166, hexagonal axes)
Unique sites:
Tb (0.0000, 0.0000, 0.1511) x6
Co (0.0000, 0.0000, 0.5000) x3
Si (0.0000, 0.5000, 0.0000) x9
Ni (0.0511, 0.5255, 0.0956) x18
Ni (0.0655, 0.5327, 0.6217) x18

=====

(12)
Density functional theory data (GGA-PBE) for a relaxed structure of KCo2Ir.

volume	65.9	Å³/cell
size of the total moment	0.4	μB per formula unit
VASP energy	-5.3391	eV/atom
formation enthalpy at 0 K	703	meV per atom
E above lowest polymorph	126.3	meV per atom

a = 2.775 Å, b = 2.775 Å, c = 8.559 Å
α = 90.00°, β = 90.00°, γ = 90.00°
Space group P4/mmm (No. 123)
Unique sites:
K (0.000, 0.000, 0.000) x1
Co (0.500, 0.500, 0.316) x2
Ir (0.000, 0.000, 0.500) x1

=====

(13)
Density functional theory data (GGA-PBE) for a relaxed structure of K3TbSc2Te6.

volume	817.6	Å³/cell
energy relative to the elements, uncorrected	-1.300	eV/atom
size of the total moment	0.0	μB per formula unit
VASP energy	-4.5859	eV/atom

a = 7.583 Å, b = 13.136 Å, c = 8.590 Å
α = 90.00°, β = 107.15°, γ = 90.00°
Space group C2/m (No. 12)
Unique sites:
K (0.000, 0.000, 0.000) x2
K (0.000, 0.337, 0.000) x4
Tb (0.000, 0.500, 0.500) x2
Sc (0.000, 0.167, 0.500) x4
Te (0.221, 0.000, 0.701) x4
Te (0.240, 0.327, 0.702) x8

=====

(14)
Density functional theory data (GGA-PBE) for a relaxed structure of BeCrSi2.

volume	194.2	Å³/cell
energy relative to the elements, uncorrected	0.432	eV/atom
size of the total moment	2.4	μB per formula unit
VASP energy	-5.6166	eV/atom

a = 5.791 Å, b = 5.791 Å, c = 5.791 Å
α = 90.00°, β = 90.00°, γ = 90.00°
Space group F-43m (No. 216)
Unique sites:
Be (0.000, 0.000, 0.000) x4
Cr (0.250, 0.250, 0.750) x4
Si (0.000, 0.000, 0.500) x4
Si (0.250, 0.250, 0.250) x4

=====

(15)
Density functional theory data (GGA-PBE) for a relaxed structure of ZnRu2Rh.

volume	247.4	Å³/cell
size of the total moment	0.0	μB per formula unit
VASP energy	-6.1324	eV/atom
formation enthalpy at 0 K	662	meV per atom

a = 6.930 Å, b = 6.930 Å, c = 5.150 Å
α = 90.00°, β = 90.00°, γ = 90.00°
Space group I-42d (No. 122)
Unique sites:
Zn (0.000, 0.000, 0.000) x4
Ru (0.244, 0.250, 0.625) x8
Rh (0.000, 0.000, 0.500) x4

=====

(16)
Density functional theory data (GGA-PBE) for a relaxed structure of Li2PmUSe4.

volume	191.9	Å³/cell
energy relative to the elements, uncorrected	-1.411	eV/atom
size of the total moment	3.0	μB per formula unit
VASP energy	-5.6362	eV/atom

a = 6.965 Å, b = 4.111 Å, c = 7.133 Å
α = 90.00°, β = 109.96°, γ = 90.00°
Space group P2/m (No. 10)
Unique sites:
Li (0.000, 0.000, 0.000) x1
Li (0.000, 0.500, 0.500) x1
Pm (0.500, 0.000, 0.500) x1
U (0.500, 0.500, 0.000) x1
Se (0.240, 0.500, 0.241) x2
Se (0.242, 0.000, 0.752) x2

=====

(17)
Density functional theory data (GGA-PBE) for a relaxed structure of Ac2La3YSb6.

volume	853.5	Å³/cell
energy relative to the elements, uncorrected	-1.219	eV/atom
size of the total moment	0.0	μB per formula unit
VASP energy	-5.7353	eV/atom

a = 8.056 Å, b = 13.954 Å, c = 8.056 Å
α = 90.00°, β = 109.54°, γ = 90.00°
Space group C2/m (No. 12)
Unique sites:
Ac (0.000, 0.165, 0.000) x4
La (0.000, 0.000, 0.500) x2
La (0.000, 0.330, 0.500) x4
Y (0.000, 0.500, 0.000) x2
Sb (0.235, 0.500, 0.745) x4
Sb (0.244, 0.339, 0.251) x8

=====

(18)
Density functional theory data (GGA-PBE) for a relaxed structure of MoBr.

volume	170.7	Å³/cell
energy relative to the elements, uncorrected	0.441	eV/atom
size of the total moment	0.0	μB per formula unit
VASP energy	-5.8105	eV/atom
E above lowest polymorph	515.5	meV per atom

a = 8.448 Å, b = 3.245 Å, c = 6.227 Å
α = 90.00°, β = 90.00°, γ = 90.00°
Space group Pnma (No. 62)
Unique sites:
Mo (0.039, 0.250, 0.128) x4
Br (0.178, 0.250, 0.598) x4

=====

(19)
Density functional theory data (GGA-PBE) for a relaxed structure of Ba2Al.

volume	551.7	Å³/cell
size of the total moment	0.0	μB per formula unit
VASP energy	-2.5463	eV/atom
formation enthalpy at 0 K	-17	meV per atom

a = 8.383 Å, b = 8.383 Å, c = 7.851 Å
α = 90.00°, β = 90.00°, γ = 90.00°
Space group I4/mcm (No. 140)
Unique sites:
Ba (0.195, 0.305, 0.000) x8
Al (0.000, 0.000, 0.250) x4

=====

(20)
Density functional theory data (GGA-PBE) for a relaxed structure of RbTbTm4Se8.

volume	1335.3	Å³/cell
energy relative to the elements, uncorrected	-1.697	eV/atom
size of the total moment	0.0	μB per formula unit
VASP energy	-5.3651	eV/atom

a = 8.5321 Å, b = 8.5321 Å, c = 21.1809 Å
α = 90.00°, β = 90.00°, γ = 120.00°
Space group R3m (No. 160, hexagonal axes)
Unique sites:
Rb (0.0000, 0.0000, 0.0000) x3
Tb (0.0000, 0.0000, 0.6337) x3
Tm (0.0000, 0.0000, 0.2536) x3
Tm (0.1728, 0.3457, 0.4598) x9
Se (0.0000, 0.0000, 0.3854) x3
Se (0.0000, 0.0000, 0.8589) x3
Se (0.0446, 0.5223, 0.3860) x9
Se (0.1754, 0.3509, 0.2084) x9